[1]
The following is a DFT calculation (PBE-GGA) of ErNiHg after structural relaxation.

POSCAR file:
```
ErNiHg
1.0
3.904 0.000 0.000
0.000 3.605 -0.836
0.000 0.096 8.605
Er Ni Hg
2 2 2
direct
0.250 0.906 0.811
0.750 0.094 0.189
0.250 0.541 0.083
0.750 0.459 0.917
0.250 0.702 0.405
0.750 0.298 0.595
```

Calculated values
* raw total energy: -4.031 eV/atom
* SG: Cmcm, No. 63
* calculated formation energy: -482 meV/atom
* total magnetic moment: 0.0 μB per cell

[2]
The following is a DFT calculation (PBE-GGA) of PmSiAg2 after structural relaxation.

POSCAR file:
```
PmSiAg2
1.0
-0.691 4.284 1.924
-2.883 0.878 -2.991
-3.056 -1.604 2.475
Ag Pm Si
2 1 1
direct
0.000 0.000 0.500
0.000 0.500 0.000
0.500 0.500 0.500
0.500 0.000 0.000
```

Calculated values
* E_form (uncorrected): -0.140 eV per atom
* raw total energy: -4.109 eV/atom
* SG: P4/mmm, No. 123
* offset from the most stable computed form: 2 meV/atom
* total magnetic moment: 0.0 μB per cell

Ρ values (in g/cm3) by entry order: 11.67, 7.54.